Computed, not measured: a geometry-optimized MgScOs2 structure at the PBE-GGA level of DFT.

Cell lengths 5.2298, 5.2298, 2.8006 Å; angles 102.59, 102.59, 114.34 degrees
Sites, in units of the cell vectors:
Mg1 0.0000 0.0000 0.0000
Sc1 0.5000 0.5000 0.0000
Os1 0.0000 0.5000 0.5000
Os2 0.5000 0.0000 0.5000

Properties
V (Å³ per cell): 63.90
Calculated formation energy (meV/atom): 79.9
Space-group type: C2/m
Uncorrected energy (Ha/atom): -0.2762
Crystal system: monoclinic